(1)
! Ta7Mo (PBE-GGA, optimized geometry); values from VASP
! energy above the lowest structure with this stoichiometry = 0.0115 eV per atom
! energy of formation from the pure elements = -43 meV per atom
! space group = No. 139
! magnetization = 0.0 μB per formula unit
&SYSTEM
  ibrav = 0, nat = 8, ntyp = 2
/
ATOMIC_SPECIES
Ta 180.95 Ta.upf
Mo 95.94 Mo.upf
CELL_PARAMETERS angstrom
-2.327 2.327 6.615
2.327 -2.327 6.615
2.327 2.327 -6.615
ATOMIC_POSITIONS crystal
Ta 0.000 0.000 0.000
Ta 0.122 0.622 0.500
Ta 0.248 0.248 0.000
Ta 0.378 0.878 0.500
Ta 0.622 0.122 0.500
Ta 0.752 0.752 0.000
Ta 0.878 0.378 0.500
Mo 0.500 0.500 0.000

---

(2)
! MoOsRh2 (PBE-GGA, optimized geometry); values from VASP
! energy above the lowest structure with this stoichiometry = 0.0000 eV per atom
! energy of formation from the pure elements = -189 meV per atom
! space group = No. 38
! magnetization = 0.0 μB per formula unit
&SYSTEM
  ibrav = 0, nat = 8, ntyp = 3
/
ATOMIC_SPECIES
Mo 95.94 Mo.upf
Os 190.23 Os.upf
Rh 102.91 Rh.upf
CELL_PARAMETERS angstrom
4.396 0.000 0.000
0.000 2.760 4.767
0.000 -2.760 4.767
ATOMIC_POSITIONS crystal
Mo 0.000 0.000 0.000
Mo 0.500 0.330 0.330
Os 0.500 0.335 0.833
Os 0.500 0.833 0.335
Rh 0.000 0.499 0.499
Rh 0.000 0.500 0.998
Rh 0.000 0.998 0.500
Rh 0.500 0.831 0.831

---

(3)
! K3RbRe (PBE-GGA, optimized geometry); values from VASP
! energy above the lowest structure with this stoichiometry = 0.0000 eV per atom
! energy of formation from the pure elements = 1255 meV per atom
! space group = No. 221
! magnetization = 3.4 μB per formula unit
&SYSTEM
  ibrav = 0, nat = 5, ntyp = 3
/
ATOMIC_SPECIES
K 39.10 K.upf
Rb 85.47 Rb.upf
Re 186.21 Re.upf
CELL_PARAMETERS angstrom
6.761 0.000 0.000
0.000 6.761 0.000
0.000 0.000 6.761
ATOMIC_POSITIONS crystal
K 0.000 0.000 0.500
K 0.000 0.500 0.000
K 0.500 0.000 0.000
Rb 0.500 0.500 0.500
Re 0.000 0.000 0.000

---

(4)
! MnCuN2 (PBE-GGA, optimized geometry); values from VASP
! energy above the lowest structure with this stoichiometry = 0.0000 eV per atom
! space group = No. 122
! magnetization = 0.0 μB per formula unit
&SYSTEM
  ibrav = 0, nat = 8, ntyp = 3
/
ATOMIC_SPECIES
Mn 54.94 Mn.upf
Cu 63.55 Cu.upf
N 14.01 N.upf
CELL_PARAMETERS angstrom
-2.219 2.219 4.238
2.219 -2.219 4.238
2.219 2.219 -4.238
ATOMIC_POSITIONS crystal
Mn 0.000 0.000 0.000
Mn 0.750 0.250 0.500
Cu 0.250 0.750 0.500
Cu 0.500 0.500 0.000
N 0.082 0.625 0.957
N 0.375 0.332 0.457
N 0.668 0.125 0.043
N 0.875 0.918 0.543